1.
Entry from the Alexandria database: a PBEsol-optimized structure of SnTeAu3 (SCAN).

Summary:
Calculated total energy, eV per cell: -278.113
Formation energy (no corrections), meV per atom: 506

Unit cell a=5.163 b=5.163 c=5.163 alpha=90.00 beta=90.00 gamma=90.00
Element x y z (fractional)
Te: 0.000 0.000 0.000
Au: 0.000 0.500 0.000
Au: 0.000 0.000 0.500
Au: 0.500 0.000 0.000
Sn: 0.500 0.500 0.500



2.
Entry from the Alexandria database: a PBEsol-optimized structure of CuSi2Hg (SCAN).

Summary:
Calculated total energy, eV per cell: -101.113
Formation energy (no corrections), meV per atom: 571

Unit cell a=3.633 b=4.803 c=4.803 alpha=58.74 beta=67.78 gamma=67.78
Element x y z (fractional)
Cu: 0.527 0.473 0.473
Hg: 0.751 0.749 0.749
Si: 0.972 0.028 0.028
Si: 0.250 0.250 0.250



3.
Entry from the Alexandria database: a PBEsol-optimized structure of GaAg2PdO (SCAN).

Summary:
Calculated total energy, eV per cell: -116.525
Formation energy (no corrections), meV per atom: 312

Unit cell a=3.684 b=5.103 c=5.103 alpha=90.00 beta=90.00 gamma=90.00
Each line ends with the local moment (μB).
Element x y z (fractional)
O: 0.500 0.000 0.000  0.35
Ga: 0.500 0.500 0.500  0.02
Pd: 0.000 0.000 0.000  0.28
Ag: 0.000 0.000 0.500  0.01
Ag: 0.000 0.500 0.000  0.01



4.
Entry from the Alexandria database: a PBEsol-optimized structure of ReMo2Os (SCAN).

Summary:
DFT formation energy, eV per atom: 0.132
Calculated total energy, eV per cell: -212.221

Unit cell a=3.896 b=3.896 c=4.776 alpha=114.07 beta=114.07 gamma=90.00
Element x y z (fractional)
Mo: 0.750 0.250 0.500
Mo: 0.250 0.750 0.500
Os: 0.500 0.500 0.000
Re: 0.000 0.000 0.000



5.
Entry from the Alexandria database: a PBEsol-optimized structure of AsPNF2 (SCAN).

Summary:
Calculated total energy, eV per cell: -46.804
Formation energy (no corrections), meV per atom: 31

Unit cell a=3.261 b=4.392 c=4.392 alpha=90.00 beta=90.00 gamma=90.00
Element x y z (fractional)
P: 0.000 0.000 0.000
As: 0.500 0.500 0.500
N: 0.500 0.000 0.000
F: 0.000 0.000 0.500
F: 0.000 0.500 0.000



6.
Entry from the Alexandria database: a PBEsol-optimized structure of BaScRh (SCAN).

Summary:
DFT formation energy, eV per atom: -0.277
Calculated total energy, eV per cell: -88.389

Unit cell a=4.100 b=4.100 c=6.080 alpha=90.00 beta=90.00 gamma=120.00
Element x y z (fractional)
Ba: 0.000 0.000 0.062
Rh: 0.333 0.667 0.392
Sc: 0.667 0.333 0.546



7.
Entry from the Alexandria database: a PBEsol-optimized structure of RbHfRh2 (SCAN).

Summary:
DFT formation energy, eV per atom: 0.421
Calculated total energy, eV per cell: -149.273

Unit cell a=4.730 b=4.730 c=4.730 alpha=60.00 beta=60.00 gamma=60.00
Element x y z (fractional)
Rh: 0.250 0.250 0.250
Rh: 0.750 0.750 0.750
Hf: 0.500 0.500 0.500
Rb: 0.000 0.000 0.000



8.
Entry from the Alexandria database: a PBEsol-optimized structure of Mg2Ag (SCAN).

Summary:
DFT formation energy, eV per atom: -0.154
Calculated total energy, eV per cell: -83.551

Unit cell a=3.415 b=5.455 c=6.986 alpha=109.85 beta=90.00 gamma=108.24
Element x y z (fractional)
Mg: 0.169 0.337 0.600
Mg: 0.503 0.006 0.220
Mg: 0.497 0.994 0.780
Mg: 0.831 0.663 0.400
Ag: 0.827 0.653 0.916
Ag: 0.173 0.347 0.084



9.
Entry from the Alexandria database: a PBEsol-optimized structure of YFeCl2 (SCAN).

Summary:
Calculated total energy, eV per cell: -64.703
Formation energy (no corrections), meV per atom: -694
Relative energy among the computed polymorphs, meV per atom: 369

Unit cell a=4.341 b=4.901 c=4.341 alpha=116.28 beta=90.00 gamma=116.28
Each line ends with the local moment (μB).
Element x y z (fractional)
Y: 0.000 0.000 0.000  -0.12
Fe: 0.500 0.000 0.500  3.05
Cl: 0.750 0.500 0.250  0.05
Cl: 0.250 0.500 0.750  0.05



10.
Entry from the Alexandria database: a PBEsol-optimized structure of BeCo2As (SCAN).

Summary:
DFT formation energy, eV per atom: 0.041
Calculated total energy, eV per cell: -58.990
Relative energy among the computed polymorphs, meV per atom: 189

Unit cell a=2.696 b=3.936 c=4.364 alpha=113.19 beta=90.00 gamma=90.00
Each line ends with the local moment (μB).
Element x y z (fractional)
Be: 0.000 0.500 0.500  -0.04
As: 0.500 0.500 0.000  -0.03
Co: 0.000 0.000 0.000  0.52
Co: 0.500 0.000 0.500  0.77



11.
Entry from the Alexandria database: a PBEsol-optimized structure of Cu2SbW (SCAN).

Summary:
Calculated total energy, eV per cell: -135.340
Formation energy (no corrections), meV per atom: 502

Unit cell a=3.278 b=3.278 c=5.635 alpha=90.00 beta=90.00 gamma=90.00
Element x y z (fractional)
Cu: 0.000 0.000 0.025
Cu: 0.500 0.500 0.217
Sb: 0.000 0.000 0.500
W: 0.500 0.500 0.757



12.
Entry from the Alexandria database: a PBEsol-optimized structure of LaZr2Ga2 (SCAN).

Summary:
DFT formation energy, eV per atom: -0.517
Calculated total energy, eV per cell: -139.782

Unit cell a=4.263 b=4.263 c=6.945 alpha=107.87 beta=107.87 gamma=90.00
Element x y z (fractional)
Ga: 0.400 0.400 0.799
Ga: 0.600 0.600 0.201
Zr: 0.250 0.750 0.500
Zr: 0.750 0.250 0.500
La: 0.000 0.000 0.000